DFT (PBE) results for crystalline LaIr2Rh at its relaxed geometry.

```
LaIr2Rh
1.0
-1.1774 9.6640 1.6921
-3.2764 8.6859 3.3858
-0.5882 8.8399 4.3763
La Ir Rh
1 2 1
direct
0.5000 0.5000 0.5000
0.7400 0.7400 0.7400
0.2600 0.2600 0.2600
0.0000 0.0000 0.0000
```

## Properties
As for the space group: No. 166. The calculation puts the total energy at -7.14 eV per atom. The value obtained for the formation energy is 359 meV/atom.